i) HfTcMo after structural relaxation, computed with PBE-GGA.

The total magnetization is 0.0 Bohr magnetons per cell. As for the space group: Cmmm (65).

```
HfTcMo
1.0
3.241 0.000 0.000
0.000 14.122 0.000
0.000 0.000 4.430
Mo Tc Hf
4 4 4
Direct
0.500 0.000 0.500 Mo
0.000 0.500 0.500 Mo
0.500 0.500 0.000 Mo
0.000 0.000 0.000 Mo
0.500 0.831 0.000 Tc
0.000 0.669 0.000 Tc
0.000 0.331 0.000 Tc
0.500 0.169 0.000 Tc
0.000 0.840 0.500 Hf
0.500 0.340 0.500 Hf
0.000 0.160 0.500 Hf
0.500 0.660 0.500 Hf
```


ii) HfTcMo after structural relaxation, computed with PBE-GGA.

The total magnetization is 0.0 Bohr magnetons per cell. As for the space group: P-62m (189).

```
HfTcMo
1.0
-0.867 5.469 -3.282
-7.235 3.039 0.663
0.242 6.495 4.448
Tc Hf Mo
6 6 6
Direct
0.590 0.667 0.666 Tc
0.590 0.166 0.167 Tc
0.923 0.333 0.334 Tc
0.923 0.834 0.833 Tc
0.257 0.750 0.250 Tc
0.257 0.250 0.750 Tc
0.824 0.250 0.750 Hf
0.257 0.966 0.466 Hf
0.689 0.034 0.534 Hf
0.824 0.750 0.250 Hf
0.257 0.466 0.966 Hf
0.690 0.534 0.034 Hf
0.014 0.621 0.621 Mo
0.499 0.500 0.500 Mo
0.014 0.121 0.121 Mo
0.257 0.379 0.379 Mo
0.499 0.000 0.000 Mo
0.257 0.879 0.879 Mo
```


What should be chosen as the least stable of them? Choose ii).


i) HfTcMo after structural relaxation, computed with PBE-GGA.

The total magnetization is 0.0 Bohr magnetons per cell. As for the space group: C2/m (12).

```
HfTcMo
1.0
-4.380 4.040 -2.331
0.420 -1.236 -2.931
-4.922 -8.685 2.958
Hf Tc Mo
4 4 4
Direct
0.246 0.500 0.497 Hf
0.246 0.000 0.997 Hf
0.754 0.500 0.503 Hf
0.754 0.000 0.003 Hf
0.912 0.000 0.327 Tc
0.912 0.500 0.827 Tc
0.088 0.500 0.173 Tc
0.088 0.000 0.673 Tc
0.412 0.000 0.322 Mo
0.588 0.500 0.178 Mo
0.412 0.500 0.822 Mo
0.588 0.000 0.678 Mo
```


ii) HfTcMo after structural relaxation, computed with PBE-GGA.

The total magnetization is 0.0 Bohr magnetons per cell. As for the space group: Imma (74).

```
HfTcMo
1.0
5.406 0.000 0.000
0.000 5.290 0.000
0.000 0.000 7.373
Tc Hf Mo
4 4 4
Direct
0.750 0.750 0.250 Tc
0.250 0.250 0.750 Tc
0.250 0.750 0.250 Tc
0.750 0.250 0.750 Tc
0.000 0.250 0.123 Hf
0.500 0.250 0.377 Hf
0.000 0.750 0.877 Hf
0.500 0.750 0.623 Hf
0.000 0.500 0.500 Mo
0.000 0.000 0.500 Mo
0.500 0.500 0.000 Mo
0.500 0.000 0.000 Mo
```


What should be chosen as the least stable of them? Choose i).


i) HfTcMo3 after structural relaxation, computed with PBE-GGA.

The total magnetization is 0.0 Bohr magnetons per cell. As for the space group: Pm-3m (221).

```
HfTcMo3
1.0
4.690 0.000 0.000
0.000 4.690 0.000
0.000 0.000 4.690
Mo Hf Tc
3 1 1
Direct
0.000 0.500 0.000 Mo
0.000 0.000 0.500 Mo
0.500 0.000 0.000 Mo
0.000 0.000 0.000 Hf
0.500 0.500 0.500 Tc
```


ii) HfTcMo3 after structural relaxation, computed with PBE-GGA.

The total magnetization is 0.0 Bohr magnetons per cell. As for the space group: Pm-3m (221).

```
HfTcMo3
1.0
-1.447 0.504 -4.425
2.700 -3.601 -1.293
-3.542 -2.951 0.821
Mo Tc Hf
3 1 1
Direct
0.500 0.000 0.000 Mo
0.000 0.500 0.000 Mo
0.000 0.000 0.500 Mo
0.000 0.000 0.000 Tc
0.500 0.500 0.500 Hf
```


What should be chosen as the least stable of them? Choose i).


i) HfTc2Mo2 after structural relaxation, computed with PBE-GGA.

The total magnetization is 0.0 Bohr magnetons per cell. As for the space group: P4/mbm (127).

```
HfTc2Mo2
1.0
-2.457 -0.739 7.123
-1.532 -7.302 -1.286
2.709 -0.720 0.860
Mo Hf Tc
4 2 4
Direct
0.646 0.146 0.000 Mo
0.146 0.354 0.000 Mo
0.354 0.854 0.000 Mo
0.854 0.646 0.000 Mo
0.000 0.000 0.000 Hf
0.500 0.500 0.000 Hf
0.652 0.848 0.500 Tc
0.152 0.652 0.500 Tc
0.348 0.152 0.500 Tc
0.848 0.348 0.500 Tc
```


ii) HfTc2Mo2 after structural relaxation, computed with PBE-GGA.

The total magnetization is 0.0 Bohr magnetons per cell. As for the space group: P2_1/m (11).

```
HfTc2Mo2
1.0
3.144 0.000 -0.424
0.000 4.479 0.000
-0.067 0.000 11.512
Tc Hf Mo
4 2 4
Direct
0.350 0.250 0.702 Tc
0.547 0.250 0.094 Tc
0.650 0.750 0.298 Tc
0.453 0.750 0.906 Tc
0.148 0.250 0.294 Hf
0.852 0.750 0.706 Hf
0.047 0.750 0.095 Mo
0.247 0.750 0.494 Mo
0.753 0.250 0.506 Mo
0.953 0.250 0.905 Mo
```


What should be chosen as the least stable of them? Choose i).


i) HfTe2Mo after structural relaxation, computed with PBE-GGA.

The total magnetization is 0.0 Bohr magnetons per cell. As for the space group: I-42d (122).

```
HfTe2Mo
1.0
-4.111 2.558 -0.170
-2.241 -3.741 -2.111
-5.413 -3.667 6.684
Hf Te Mo
2 4 2
Direct
0.750 0.250 0.500 Hf
0.000 0.000 0.000 Hf
0.599 0.125 0.250 Te
0.375 0.401 0.750 Te
0.875 0.849 0.750 Te
0.151 0.625 0.250 Te
0.500 0.500 0.000 Mo
0.250 0.750 0.500 Mo
```


ii) HfTe2Mo after structural relaxation, computed with PBE-GGA.

The total magnetization is 1.5 Bohr magnetons per cell. As for the space group: Fm-3m (225).

```
HfTe2Mo
1.0
3.731 -0.117 3.159
0.305 3.350 3.549
-0.775 -1.290 4.653
Hf Te Mo
1 2 1
Direct
0.500 0.500 0.500 Hf
0.250 0.250 0.250 Te
0.750 0.750 0.750 Te
0.000 0.000 0.000 Mo
```


What should be chosen as the least stable of them? Choose i).


i) HfTeMo3 after structural relaxation, computed with PBE-GGA.

The total magnetization is 1.5 Bohr magnetons per cell. As for the space group: Pm-3m (221).

```
HfTeMo3
1.0
4.856 0.000 0.000
0.000 4.856 0.000
0.000 0.000 4.856
Hf Te Mo
1 1 3
Direct
0.000 0.000 0.000 Hf
0.500 0.500 0.500 Te
0.000 0.500 0.000 Mo
0.500 0.000 0.000 Mo
0.000 0.000 0.500 Mo
```


ii) HfTeMo3 after structural relaxation, computed with PBE-GGA.

The total magnetization is 1.5 Bohr magnetons per cell. As for the space group: Pm-3m (221).

```
HfTeMo3
1.0
4.844 0.000 0.000
0.000 4.844 0.000
0.000 0.000 4.844
Mo Te Hf
3 1 1
Direct
0.000 0.500 0.000 Mo
0.500 0.000 0.000 Mo
0.000 0.000 0.500 Mo
0.000 0.000 0.000 Te
0.500 0.500 0.500 Hf
```


What should be chosen as the least stable of them? Choose i).